Density functional theory data (GGA-PBE) for a relaxed ScGa2Mo2 crystal.

Results
The formation energy comes out at -0.19 eV/f.u. As for the crystal system: tetragonal. For the density of states at the Fermi level, the calculation gives 4.0 states/eV/f.u. For the excess energy over the best structure of this formula in the dataset, the calculation gives 189 meV per atom. The symmetry is No. 127. The calculation puts the density at 7.24 g/cm3. Its total energy is -6.85 eV per atom.

extended XYZ file:
```
10
Lattice="7.9037 0.0000 0.0000 0.0000 7.9037 0.0000 0.0000 0.0000 2.7623" Properties=species:S:1:pos:R:3 pbc="T T T"
Ga 1.4326 5.3845 1.3811
Ga 6.4711 2.5192 1.3811
Ga 5.3845 6.4711 1.3811
Ga 2.5192 1.4326 1.3811
Mo 3.0502 7.0021 0.0000
Mo 7.0021 4.8535 0.0000
Mo 0.9017 3.0502 0.0000
Mo 4.8535 0.9017 0.0000
Sc 3.9519 3.9519 0.0000
Sc 0.0000 0.0000 0.0000
```